No. 1
Pm6DyYTm2 (PBE-GGA, optimized geometry); electronic total energy = -4.736 eV per atom; V = 33.43 Å³/atom; symmetry = C2/c (15)
1.0
4.5955 -7.6289 0.0000
4.5955 7.6289 0.0000
-1.2244 0.0000 9.5360
Pm Dy Y Tm
12 2 2 4
Cartesian
2.4228 4.2008 1.7734
3.3582 4.8946 5.2797
3.9963 4.8946 9.0243
3.2058 1.6441 3.6320
6.1560 4.2008 2.9946
5.3730 1.6441 1.1360
2.5936 -1.6441 8.4000
1.8106 -4.2008 6.5413
4.7608 -1.6441 5.9040
3.9703 -4.8946 0.5117
4.6084 -4.8946 4.2563
5.5438 -4.2008 7.7626
3.6772 1.3706 7.1520
4.2894 -1.3706 2.3840
4.2894 7.2179 2.3840
3.6772 -7.2179 7.1520
2.2450 0.7729 0.4335
1.6328 -0.7729 5.2015
6.3338 0.7729 4.3345
5.7216 -0.7729 9.1025



No. 2
PmDy2Y6Tm3 (PBE-GGA, optimized geometry); electronic total energy = -5.489 eV per atom; V = 31.68 Å³/atom; symmetry = C2/m (12)
1.0
3.0781 -5.3252 0.0000
3.0781 5.3252 0.0000
-2.0441 0.0000 11.5957
Pm Dy Y Tm
1 2 6 3
Cartesian
0.0000 0.0000 0.0000
3.0781 1.7742 0.0000
3.0781 -1.7742 0.0000
1.0320 1.7774 2.9263
0.0065 0.0000 8.6686
1.0320 -1.7774 2.9263
3.0802 1.7774 8.6694
4.1056 0.0000 2.9272
3.0802 -1.7774 8.6694
2.0561 3.5469 5.7979
2.0561 0.0000 5.7979
2.0561 -3.5469 5.7979



No. 3
Pm2DyY5Tm (PBE-GGA, optimized geometry); electronic total energy = -5.390 eV per atom; V = 32.57 Å³/atom; symmetry = I4/mcm (140)
1.0
-4.3225 4.3225 7.8435
4.3225 -4.3225 7.8435
4.3225 4.3225 -7.8435
Pm Dy Y Tm
4 2 10 2
Cartesian
5.3347 1.0122 0.0000
1.0122 3.3103 0.0000
3.3103 1.0122 7.8435
-1.0122 3.3103 7.8435
0.0000 0.0000 3.9217
0.0000 0.0000 11.7652
0.0000 0.0000 0.0000
2.4986 1.8239 -2.1843
2.4986 -1.8239 5.6592
2.4986 1.8239 2.1843
2.4986 -1.8239 10.0278
0.0000 0.0000 7.8435
1.8239 6.1464 -2.1843
1.8239 2.4986 5.6592
1.8239 6.1464 2.1843
1.8239 2.4986 10.0278
4.3225 0.0000 3.9217
0.0000 4.3225 3.9217



No. 4
PmDy2YTm (PBE-GGA, optimized geometry); electronic total energy = -4.602 eV per atom; V = 34.44 Å³/atom; symmetry = Cmcm (63)
1.0
4.1767 -5.7377 0.0000
4.1767 5.7377 0.0000
0.0000 0.0000 7.1847
Pm Dy Y Tm
2 4 2 2
Cartesian
4.1767 3.2006 5.3885
4.1767 -3.2006 1.7962
1.6015 0.0000 0.0000
1.6015 0.0000 3.5923
6.7519 0.0000 0.0000
6.7519 0.0000 3.5923
4.1767 3.0738 1.7962
4.1767 -3.0738 5.3885
4.1767 0.1279 5.3885
4.1767 -0.1279 1.7962



No. 5
Pm3Dy2YTm6 (PBE-GGA, optimized geometry); electronic total energy = -4.707 eV per atom; V = 31.41 Å³/atom; symmetry = C2/m (12)
1.0
3.0757 -5.3234 0.0000
3.0757 5.3234 0.0000
-2.0437 0.0000 11.5093
Pm Dy Y Tm
3 2 1 6
Cartesian
0.0000 0.0000 0.0000
3.0757 1.7754 0.0000
3.0757 -1.7754 0.0000
2.0539 3.5498 5.7546
2.0539 -3.5498 5.7546
2.0539 0.0000 5.7546
1.0232 1.7783 2.9047
0.0026 0.0000 8.6064
1.0232 -1.7783 2.9047
3.0846 1.7783 8.6046
4.1052 0.0000 2.9028
3.0846 -1.7783 8.6046



No. 6
Pm2DyYTm6 (PBE-GGA, optimized geometry); electronic total energy = -4.622 eV per atom; V = 31.66 Å³/atom; symmetry = C2/c (15)
1.0
4.4677 -7.4838 0.0000
4.4677 7.4838 0.0000
-1.4549 0.0000 9.4681
Pm Dy Y Tm
4 2 2 12
Cartesian
2.1451 0.7998 0.4073
1.4176 -0.7998 5.1413
6.0630 0.7998 4.3268
5.3356 -0.7998 9.0608
3.3766 1.3909 7.1011
4.1040 -1.3909 2.3670
4.1040 7.1994 2.3670
3.3766 -7.1994 7.1011
2.4056 4.1274 1.7635
3.0846 4.6241 5.2773
3.6686 4.6241 8.9249
2.9847 1.5841 3.6078
5.8025 4.1274 2.9706
5.2234 1.5841 1.1263
2.2572 -1.5841 8.3418
1.6782 -4.1274 6.4975
4.4960 -1.5841 5.8603
3.8121 -4.6241 0.5432
4.3960 -4.6241 4.1908
5.0750 -4.1274 7.7046



No. 7
Pm3Dy2Tm6Zr (PBE-GGA, optimized geometry); electronic total energy = -4.858 eV per atom; V = 30.44 Å³/atom; symmetry = C2/m (12)
1.0
3.0449 -5.2694 0.0000
3.0449 5.2694 0.0000
-2.0246 0.0000 11.3821
Pm Dy Tm Zr
3 2 6 1
Cartesian
0.0000 0.0000 0.0000
3.0449 1.7498 0.0000
3.0449 -1.7498 0.0000
2.0326 3.5121 5.6910
2.0326 -3.5121 5.6910
1.0405 1.7198 2.9313
0.0459 0.0000 8.4467
1.0405 -1.7198 2.9313
3.0248 1.7198 8.4507
4.0193 0.0000 2.9353
3.0248 -1.7198 8.4507
2.0326 0.0000 5.6910



No. 8
Pm2DyV (PBE-GGA, optimized geometry); electronic total energy = -5.181 eV per atom; V = 29.45 Å³/atom; symmetry = R-3m (166)
1.0
1.7122 0.9885 11.5998
-1.7122 0.9885 11.5998
0.0000 -1.9770 11.5998
Pm Dy V
2 1 1
Cartesian
0.0000 0.0000 2.8345
0.0000 0.0000 31.9648
0.0000 0.0000 17.3996
0.0000 0.0000 0.0000



No. 9
PmDyV (PBE-GGA, optimized geometry); electronic total energy = -5.832 eV per atom; V = 27.22 Å³/atom; symmetry = C2/m (12)
1.0
4.6434 -2.6898 0.0000
4.6434 2.6898 0.0000
-3.0735 0.0000 6.5385
Pm Dy V
2 2 2
Cartesian
1.5534 0.0000 0.6472
4.6599 0.0000 5.8913
1.5579 0.0000 4.1750
4.6553 0.0000 2.3636
-1.5387 0.0000 4.2408
7.7520 0.0000 2.2977



No. 10
Pm3Dy7Y (PBE-GGA, optimized geometry); energy above the lowest structure with this stoichiometry = 0.0 kJ/mol of atoms; V = 33.08 Å³/atom; symmetry = P2/m (10)
1.0
6.9850 0.0000 0.0000
0.0000 5.5430 0.0000
-3.4465 0.0000 9.3993
Pm Dy Y
3 7 1
Cartesian
0.0000 0.0000 0.0000
0.2540 2.7715 4.6887
3.2844 2.7715 4.7106
-1.7233 0.0000 4.6996
-1.7059 2.7715 7.4194
1.7684 2.7715 1.3002
1.7828 0.0000 3.0974
1.7556 0.0000 6.3019
1.7700 2.7715 8.0991
5.2443 2.7715 1.9798
3.4925 0.0000 0.0000



No. 11
Pm4Dy6Y (PBE-GGA, optimized geometry); energy above the lowest structure with this stoichiometry = 12.9 kJ/mol of atoms; V = 35.22 Å³/atom; symmetry = I-42m (121)
1.0
-3.8426 3.8426 6.5593
3.8426 -3.8426 6.5593
3.8426 3.8426 -6.5593
Pm Dy Y
4 6 1
Cartesian
2.5099 2.5099 -0.9995
1.3327 -1.3327 7.5588
1.3327 1.3327 5.5598
-1.3327 1.3327 7.5588
3.8426 0.0000 0.0000
1.9790 -1.9790 4.1312
1.8636 1.8636 2.4281
0.0000 3.8426 0.0000
-1.9790 1.9790 4.1312
1.9790 1.9790 8.9874
0.0000 0.0000 0.0000



No. 12
Pm2Dy8Y (PBE-GGA, optimized geometry); energy above the lowest structure with this stoichiometry = 1.4 kJ/mol of atoms; V = 32.82 Å³/atom; symmetry = C2/m (12)
1.0
8.2882 -3.3226 0.0000
8.2882 3.3226 0.0000
-1.1378 0.0000 6.5553
Pm Dy Y
2 8 1
Cartesian
3.7021 0.0000 2.0351
11.7364 0.0000 4.5202
6.1533 1.5844 3.9110
2.4083 0.0000 5.2564
9.2852 1.5844 2.6443
6.7109 0.0000 0.6225
8.7276 0.0000 5.9328
6.1533 -1.5844 3.9110
13.0301 0.0000 1.2989
9.2852 -1.5844 2.6443
0.0000 0.0000 0.0000



No. 13
PmDy2Y (PBE-GGA, optimized geometry); energy above the lowest structure with this stoichiometry = 0.4 kJ/mol of atoms; V = 32.32 Å³/atom; symmetry = R-3m (166)
1.0
1.7891 1.0329 11.6608
-1.7891 1.0329 11.6608
0.0000 -2.0659 11.6608
Pm Dy Y
1 2 1
Cartesian
0.0000 0.0000 0.0000
0.0000 0.0000 8.7223
0.0000 0.0000 26.2603
0.0000 0.0000 17.4913



No. 14
Pm3DyY4 (PBE-GGA, optimized geometry); energy above the lowest structure with this stoichiometry = 0.0 kJ/mol of atoms; V = 33.39 Å³/atom; symmetry = Pmn2_1 (31)
1.0
11.4759 0.0000 0.0000
0.0000 7.3424 0.0000
0.0000 0.0000 6.3407
Pm Dy Y
6 2 8
Cartesian
0.0000 0.9207 0.0000
2.8732 0.9165 2.0902
2.8647 6.4259 5.2605
5.7379 6.4217 3.1703
8.6027 0.9165 2.0902
8.6112 6.4259 5.2605
0.0000 6.4102 3.1589
5.7379 0.9322 6.3293
0.0000 2.7543 3.1515
0.0000 4.5768 6.3172
2.8531 4.5811 2.1096
2.8848 2.7613 5.2800
5.7379 2.7656 3.1468
5.7379 4.5881 6.3218
8.5911 2.7613 5.2800
8.6228 4.5811 2.1096



No. 15
Pm2Dy5Y4 (PBE-GGA, optimized geometry); energy above the lowest structure with this stoichiometry = 17.7 kJ/mol of atoms; V = 33.75 Å³/atom; symmetry = Immm (71)
1.0
-1.7565 4.5308 11.6638
1.7565 -4.5308 11.6638
1.7565 4.5308 -11.6638
Pm Dy Y
2 5 4
Cartesian
0.0000 0.0000 5.4293
0.0000 0.0000 17.8983
1.7565 2.7637 -3.3338
1.7565 2.7637 3.3338
0.0000 4.5308 0.0000
0.0000 1.7671 8.3300
0.0000 1.7671 14.9976
0.0000 0.0000 2.2908
1.7565 1.7272 0.0000
0.0000 2.8036 11.6638
0.0000 0.0000 21.0368



No. 16
PmDy6Y12 (PBE-GGA, optimized geometry); energy above the lowest structure with this stoichiometry = 39.9 kJ/mol of atoms; V = 34.75 Å³/atom; symmetry = R-3m (166)
1.0
6.7362 3.8892 4.2000
-6.7362 3.8892 4.2000
0.0000 -7.7784 4.2000
Pm Dy Y
1 6 12
Cartesian
0.0000 0.0000 0.0000
0.0000 -4.1904 4.8652
-3.6290 2.0952 4.8652
-3.6290 -2.0952 7.7349
3.6290 2.0952 4.8652
3.6290 -2.0952 7.7349
0.0000 4.1904 7.7349
-2.5747 -4.4594 6.3000
-5.1493 0.0000 6.3000
-1.9256 -1.1118 4.6951
1.9256 -1.1118 4.6951
0.0000 2.2235 4.6951
2.5747 -4.4594 6.3001
-2.5747 4.4594 6.3001
0.0000 -2.2235 7.9050
-1.9256 1.1118 7.9050
1.9256 1.1118 7.9050
5.1493 0.0000 6.3000
2.5746 4.4594 6.3000



No. 17
Pm3DyY6 (PBE-GGA, optimized geometry); energy above the lowest structure with this stoichiometry = 10.8 kJ/mol of atoms; V = 33.35 Å³/atom; symmetry = R3 (146)
1.0
4.9743 2.8719 3.8908
-4.9743 2.8719 3.8908
0.0000 -5.7438 3.8908
Pm Dy Y
3 1 6
Cartesian
0.0000 0.0000 0.0000
0.0000 0.0000 2.9150
0.0000 0.0000 5.8306
0.0000 0.0000 8.7504
-3.2625 -0.0196 5.8421
-1.7142 -2.8523 7.7809
1.6482 -2.8156 5.8421
-1.6131 2.9106 7.7809
1.6142 2.8352 5.8421
3.3272 -0.0584 7.7809



No. 18
Pm4Dy4Y (PBE-GGA, optimized geometry); energy above the lowest structure with this stoichiometry = 8.2 kJ/mol of atoms; V = 33.19 Å³/atom; symmetry = C2/m (12)
1.0
8.4929 -2.8179 0.0000
8.4929 2.8179 0.0000
-2.6877 0.0000 6.2402
Pm Dy Y
4 4 1
Cartesian
1.0271 0.0000 2.8661
4.1925 0.0000 1.3403
10.1055 0.0000 4.8999
13.2709 0.0000 3.3741
-1.1211 0.0000 5.4797
4.1333 0.0000 5.1329
10.1646 0.0000 1.1073
15.4191 0.0000 0.7605
7.1490 0.0000 3.1201



No. 19
Pm3DyY (PBE-GGA, optimized geometry); energy above the lowest structure with this stoichiometry = 0.0 kJ/mol of atoms; V = 33.74 Å³/atom; symmetry = P-1 (2)
1.0
3.6684 0.0000 0.0000
-1.8302 11.1388 0.0000
-0.0106 -4.7809 16.5121
Pm Dy Y
12 4 4
Cartesian
-0.0075 -1.3506 5.8798
-0.0099 -3.7224 14.1489
-0.0063 4.0788 2.6117
-0.0055 1.6644 10.8809
-0.0062 7.0760 7.5870
-0.0102 4.6759 15.8426
1.8379 1.6820 0.6695
1.8338 -0.7181 8.9251
1.8331 4.6934 5.6312
1.8339 2.2790 13.9005
1.8375 10.0803 2.3632
1.8351 7.7085 10.6323
-0.0058 -0.4106 15.5641
0.0019 7.3698 3.9497
1.8257 -1.0119 12.5625
1.8335 6.7685 0.9480
-0.0028 1.9748 7.3056
0.0001 4.9771 12.2238
1.8275 1.3808 4.2883
1.8304 4.3831 9.2066



No. 20
Pm4Dy3Y8 (PBE-GGA, optimized geometry); energy above the lowest structure with this stoichiometry = 0.0 kJ/mol of atoms; V = 33.46 Å³/atom; symmetry = R-3m (166)
1.0
3.4989 2.0201 11.8342
-3.4989 2.0201 11.8342
0.0000 -4.0402 11.8342
Pm Dy Y
4 3 8
Cartesian
0.0000 0.0000 0.0000
0.0000 0.0000 5.8159
0.0000 0.0000 17.7514
0.0000 0.0000 29.6868
-1.7495 -1.0101 11.8342
-1.7495 1.0101 23.6685
0.0000 2.0201 11.8342
0.0000 -2.0113 14.7717
-1.7418 1.0056 14.7717
-1.7418 -1.0056 20.7310
0.0000 0.0000 9.0512
0.0000 0.0000 26.4515
1.7418 1.0056 14.7717
1.7418 -1.0056 20.7310
0.0000 2.0113 20.7310